# CdTe2N2 (PBE-GGA, optimized geometry)
data_CdTe2N2
_chemical_formula_sum 'Cd1 Te2 N2'
_symmetry_space_group_name_H-M 'P 4/m m m'
_symmetry_Int_Tables_number 123
_symmetry_space_group_name_Hall '-P 4 2'
_cell_length_a 4.759
_cell_length_b 4.759
_cell_length_c 4.181
_cell_angle_alpha 90.00
_cell_angle_beta 90.00
_cell_angle_gamma 90.00
loop_
_atom_site_label
_atom_site_type_symbol
_atom_site_fract_x
_atom_site_fract_y
_atom_site_fract_z
_atom_site_occupancy
Cd1 Cd 0.000 0.000 0.000 1
Te1 Te 0.000 0.500 0.500 1
N1 N 0.500 0.500 0.000 1
N2 N 0.500 0.500 0.500 1
# Polymorph energy (0 for the lowest one)   234 meV per atom
# Total magnetic moment   2.01 μB/f.u.
# Fermi-level density of states   2.2 states/eV/f.u.



# CdTe2N2 (PBE-GGA, optimized geometry)
data_CdTe2N2
_chemical_formula_sum 'Cd1 Te2 N2'
_symmetry_space_group_name_H-M 'P 4/m m m'
_symmetry_Int_Tables_number 123
_symmetry_space_group_name_Hall '-P 4 2'
_cell_length_a 5.855
_cell_length_b 5.855
_cell_length_c 4.107
_cell_angle_alpha 90.00
_cell_angle_beta 90.00
_cell_angle_gamma 90.00
loop_
_atom_site_label
_atom_site_type_symbol
_atom_site_fract_x
_atom_site_fract_y
_atom_site_fract_z
_atom_site_occupancy
Cd1 Cd 0.000 0.000 0.000 1
Te1 Te 0.000 0.500 0.000 1
N1 N 0.000 0.000 0.500 1
N2 N 0.500 0.500 0.500 1
# Polymorph energy (0 for the lowest one)   889 meV per atom
# Total magnetic moment   3.22 μB/f.u.
# Fermi-level density of states   3.7 states/eV/f.u.



# CdTe2N2 (PBE-GGA, optimized geometry)
data_CdTe2N2
_chemical_formula_sum 'Cd1 Te2 N2'
_symmetry_space_group_name_H-M 'P 4/m m m'
_symmetry_Int_Tables_number 123
_symmetry_space_group_name_Hall '-P 4 2'
_cell_length_a 4.113
_cell_length_b 4.113
_cell_length_c 6.630
_cell_angle_alpha 90.00
_cell_angle_beta 90.00
_cell_angle_gamma 90.00
loop_
_atom_site_label
_atom_site_type_symbol
_atom_site_fract_x
_atom_site_fract_y
_atom_site_fract_z
_atom_site_occupancy
Cd1 Cd 0.000 0.000 0.000 1
Te1 Te 0.500 0.500 0.000 1
Te2 Te 0.500 0.500 0.500 1
N1 N 0.000 0.500 0.500 1
# Polymorph energy (0 for the lowest one)   0 meV per atom
# Total magnetic moment   1.03 μB/f.u.
# Fermi-level density of states   1.8 states/eV/f.u.



# Cd3TeN (PBE-GGA, optimized geometry)
data_Cd3TeN
_chemical_formula_sum 'Cd3 Te1 N1'
_symmetry_space_group_name_H-M 'P m -3 m'
_symmetry_Int_Tables_number 221
_symmetry_space_group_name_Hall '-P 4 2 3'
_cell_length_a 5.685
_cell_length_b 5.685
_cell_length_c 5.685
_cell_angle_alpha 90.00
_cell_angle_beta 90.00
_cell_angle_gamma 90.00
loop_
_atom_site_label
_atom_site_type_symbol
_atom_site_fract_x
_atom_site_fract_y
_atom_site_fract_z
_atom_site_occupancy
Cd1 Cd 0.000 0.000 0.500 1
Te1 Te 0.000 0.000 0.000 1
N1 N 0.500 0.500 0.500 1
# Polymorph energy (0 for the lowest one)   1278 meV per atom
# Total magnetic moment   0.00 μB/f.u.
# Fermi-level density of states   20.6 states/eV/f.u.



# CdTeN (PBE-GGA, optimized geometry)
data_CdTeN
_chemical_formula_sum 'Cd4 Te4 N4'
_symmetry_space_group_name_H-M 'C 1 m 1'
_symmetry_Int_Tables_number 8
_cell_length_a 10.428
_cell_length_b 3.571
_cell_length_c 7.789
_cell_angle_alpha 90.00
_cell_angle_beta 113.21
_cell_angle_gamma 90.00
loop_
_symmetry_equiv_pos_as_xyz
'x,y,z'
'x,-y,z'
'x+1/2,y+1/2,z'
'x+1/2,-y+1/2,z'
loop_
_atom_site_label
_atom_site_type_symbol
_atom_site_fract_x
_atom_site_fract_y
_atom_site_fract_z
_atom_site_occupancy
Cd1 Cd 0.000 0.000 0.000 1
Cd2 Cd 0.086 0.500 0.488 1
Te1 Te 0.217 0.000 0.807 1
Te2 Te 0.294 0.500 0.250 1
N1 N 0.091 0.500 0.198 1
N2 N 0.350 0.000 0.412 1
# Polymorph energy (0 for the lowest one)   679 meV per atom
# Total magnetic moment   0.00 μB/f.u.
# Fermi-level density of states   0.2 states/eV/f.u.



# CdTeN (PBE-GGA, optimized geometry)
data_CdTeN
_chemical_formula_sum 'Cd4 Te4 N4'
_symmetry_space_group_name_H-M 'P 1 21/c 1'
_symmetry_Int_Tables_number 14
_cell_length_a 11.842
_cell_length_b 4.463
_cell_length_c 8.088
_cell_angle_alpha 90.00
_cell_angle_beta 98.21
_cell_angle_gamma 90.00
loop_
_symmetry_equiv_pos_as_xyz
'x,y,z'
'-x,-y,-z'
'-x,y+1/2,-z+1/2'
'x,-y+1/2,z+1/2'
loop_
_atom_site_label
_atom_site_type_symbol
_atom_site_fract_x
_atom_site_fract_y
_atom_site_fract_z
_atom_site_occupancy
Cd1 Cd 0.085 0.207 0.403 1
Te1 Te 0.162 0.642 0.648 1
N1 N 0.486 0.086 0.452 1
# Polymorph energy (0 for the lowest one)   0 meV per atom
# Total magnetic moment   0.00 μB/f.u.



# CdTe3N (PBE-GGA, optimized geometry)
data_CdTe3N
_chemical_formula_sum 'Cd1 Te3 N1'
_symmetry_space_group_name_H-M 'P m -3 m'
_symmetry_Int_Tables_number 221
_symmetry_space_group_name_Hall '-P 4 2 3'
_cell_length_a 4.840
_cell_length_b 4.840
_cell_length_c 4.840
_cell_angle_alpha 90.00
_cell_angle_beta 90.00
_cell_angle_gamma 90.00
loop_
_atom_site_label
_atom_site_type_symbol
_atom_site_fract_x
_atom_site_fract_y
_atom_site_fract_z
_atom_site_occupancy
Cd1 Cd 0.000 0.000 0.000 1
Te1 Te 0.000 0.500 0.500 1
N1 N 0.500 0.500 0.500 1
# Polymorph energy (0 for the lowest one)   0 meV per atom
# Total magnetic moment   0.00 μB/f.u.
# Fermi-level density of states   3.0 states/eV/f.u.



# CdTe3N (PBE-GGA, optimized geometry)
data_CdTe3N
_chemical_formula_sum 'Cd1 Te3 N1'
_symmetry_space_group_name_H-M 'P m -3 m'
_symmetry_Int_Tables_number 221
_symmetry_space_group_name_Hall '-P 4 2 3'
_cell_length_a 5.518
_cell_length_b 5.518
_cell_length_c 5.518
_cell_angle_alpha 90.00
_cell_angle_beta 90.00
_cell_angle_gamma 90.00
loop_
_atom_site_label
_atom_site_type_symbol
_atom_site_fract_x
_atom_site_fract_y
_atom_site_fract_z
_atom_site_occupancy
Cd1 Cd 0.000 0.000 0.000 1
Te1 Te 0.000 0.000 0.500 1
N1 N 0.500 0.500 0.500 1
# Polymorph energy (0 for the lowest one)   1222 meV per atom
# Total magnetic moment   0.00 μB/f.u.
# Fermi-level density of states   13.9 states/eV/f.u.



# CdTeN3 (PBE-GGA, optimized geometry)
data_CdTeN3
_chemical_formula_sum 'Cd1 Te1 N3'
_symmetry_space_group_name_H-M 'P m -3 m'
_symmetry_Int_Tables_number 221
_symmetry_space_group_name_Hall '-P 4 2 3'
_cell_length_a 4.007
_cell_length_b 4.007
_cell_length_c 4.007
_cell_angle_alpha 90.00
_cell_angle_beta 90.00
_cell_angle_gamma 90.00
loop_
_atom_site_label
_atom_site_type_symbol
_atom_site_fract_x
_atom_site_fract_y
_atom_site_fract_z
_atom_site_occupancy
Cd1 Cd 0.000 0.000 0.000 1
Te1 Te 0.500 0.500 0.500 1
N1 N 0.000 0.500 0.500 1
# Total magnetic moment   0.00 μB/f.u.
# Fermi-level density of states   2.6 states/eV/f.u.



# CdTe2N2 (PBE-GGA, optimized geometry)
data_CdTe2N2
_chemical_formula_sum 'Cd1 Te2 N2'
_symmetry_space_group_name_H-M 'P 4/m m m'
_symmetry_Int_Tables_number 123
_symmetry_space_group_name_Hall '-P 4 2'
_cell_length_a 4.397
_cell_length_b 4.397
_cell_length_c 6.599
_cell_angle_alpha 90.00
_cell_angle_beta 90.00
_cell_angle_gamma 90.00
loop_
_atom_site_label
_atom_site_type_symbol
_atom_site_fract_x
_atom_site_fract_y
_atom_site_fract_z
_atom_site_occupancy
Cd1 Cd 0.000 0.000 0.000 1
Te1 Te 0.000 0.000 0.500 1
Te2 Te 0.500 0.500 0.500 1
N1 N 0.000 0.500 0.000 1
# Polymorph energy (0 for the lowest one)   373 meV per atom
# Total magnetic moment   4.26 μB/f.u.
# Fermi-level density of states   2.1 states/eV/f.u.



# Cd3TeN (PBE-GGA, optimized geometry)
data_Cd3TeN
_chemical_formula_sum 'Cd3 Te1 N1'
_symmetry_space_group_name_H-M 'P m -3 m'
_symmetry_Int_Tables_number 221
_symmetry_space_group_name_Hall '-P 4 2 3'
_cell_length_a 4.752
_cell_length_b 4.752
_cell_length_c 4.752
_cell_angle_alpha 90.00
_cell_angle_beta 90.00
_cell_angle_gamma 90.00
loop_
_atom_site_label
_atom_site_type_symbol
_atom_site_fract_x
_atom_site_fract_y
_atom_site_fract_z
_atom_site_occupancy
Cd1 Cd 0.000 0.000 0.500 1
Te1 Te 0.500 0.500 0.500 1
N1 N 0.000 0.000 0.000 1
# Polymorph energy (0 for the lowest one)   0 meV per atom
# Total magnetic moment   0.00 μB/f.u.
# Fermi-level density of states   2.5 states/eV/f.u.



# CdTeN3 (PBE-GGA, optimized geometry)
data_CdTeN3
_chemical_formula_sum 'Cd1 Te1 N3'
_symmetry_space_group_name_H-M 'P m -3 m'
_symmetry_Int_Tables_number 221
_symmetry_space_group_name_Hall '-P 4 2 3'
_cell_length_a 4.155
_cell_length_b 4.155
_cell_length_c 4.155
_cell_angle_alpha 90.00
_cell_angle_beta 90.00
_cell_angle_gamma 90.00
loop_
_atom_site_label
_atom_site_type_symbol
_atom_site_fract_x
_atom_site_fract_y
_atom_site_fract_z
_atom_site_occupancy
Cd1 Cd 0.000 0.000 0.000 1
Te1 Te 0.500 0.500 0.500 1
N1 N 0.000 0.000 0.500 1
# Total magnetic moment   1.29 μB/f.u.
# Fermi-level density of states   3.5 states/eV/f.u.



# TiCd2TeN (PBE-GGA, optimized geometry)
data_TiCd2TeN
_chemical_formula_sum 'Ti1 Cd2 Te1 N1'
_symmetry_space_group_name_H-M 'P 4/m m m'
_symmetry_Int_Tables_number 123
_symmetry_space_group_name_Hall '-P 4 2'
_cell_length_a 5.711
_cell_length_b 5.711
_cell_length_c 3.742
_cell_angle_alpha 90.00
_cell_angle_beta 90.00
_cell_angle_gamma 90.00
loop_
_atom_site_label
_atom_site_type_symbol
_atom_site_fract_x
_atom_site_fract_y
_atom_site_fract_z
_atom_site_occupancy
Ti1 Ti 0.000 0.000 0.000 1
Cd1 Cd 0.000 0.500 0.000 1
Te1 Te 0.500 0.500 0.500 1
N1 N 0.000 0.000 0.500 1
# Total magnetic moment   0.03 μB/f.u.
# Fermi-level density of states   3.2 states/eV/f.u.



# TiCdTeN2 (PBE-GGA, optimized geometry)
data_TiCdTeN2
_chemical_formula_sum 'Ti1 Cd1 Te1 N2'
_symmetry_space_group_name_H-M 'P 4/m m m'
_symmetry_Int_Tables_number 123
_symmetry_space_group_name_Hall '-P 4 2'
_cell_length_a 3.982
_cell_length_b 3.982
_cell_length_c 5.939
_cell_angle_alpha 90.00
_cell_angle_beta 90.00
_cell_angle_gamma 90.00
loop_
_atom_site_label
_atom_site_type_symbol
_atom_site_fract_x
_atom_site_fract_y
_atom_site_fract_z
_atom_site_occupancy
Ti1 Ti 0.000 0.000 0.000 1
Cd1 Cd 0.500 0.500 0.500 1
Te1 Te 0.000 0.000 0.500 1
N1 N 0.000 0.500 0.000 1
# Polymorph energy (0 for the lowest one)   0 meV per atom
# Total magnetic moment   0.00 μB/f.u.
# Fermi-level density of states   2.4 states/eV/f.u.



no.,raw formation energy (eV per atom)
1,1.4398
2,2.0944
3,1.2058
4,1.5372
5,0.4794
6,-0.1991
7,0.6373
8,1.8594
9,1.5387
10,1.5792
11,0.2591
12,2.3621
13,0.2768
14,0.2685